# 1
Entry from Alexandria: a relaxed V2SbN crystal (PBE-GGA).

Values from the calculation:
Energy above the most stable polymorph in this dataset (meV/atom): 0
Density (g/cm3): 7.3
Crystal system: trigonal
E_form (uncorrected) (eV/atom): -0.5795

Cell: 3.160 3.160 6.536 Å, 76.01 76.01 60.00°
Positions (direct):
Sb 0.000 0.000 0.000
V 0.215 0.215 0.354
N 0.500 0.500 0.500
V 0.785 0.785 0.646

---

# 2
Entry from Alexandria: a relaxed LiAsPb2 crystal (PBE-GGA).

Values from the calculation:
Density (g/cm3): 8.1
Crystal system: monoclinic
Calculated formation energy (kJ per mole of atoms): -15.1

Cell: 4.113 3.243 7.862 Å, 76.04 90.00 90.00°
Positions (direct):
Pb 0.500 0.419 0.286
As 0.000 0.284 0.577
Pb 0.000 0.071 0.962
Li 0.500 0.727 0.674

---

# 3
Entry from Alexandria: a relaxed SiGeMo3 crystal (PBE-GGA).

Values from the calculation:
Energy above the most stable polymorph in this dataset (meV/atom): 0
Density (g/cm3): 8.4
Crystal system: monoclinic
E_form (uncorrected) (eV/atom): -0.0227

Cell: 3.365 6.771 6.996 Å, 93.60 90.00 104.42°
Positions (direct):
Mo 0.996 0.025 0.987
Si 0.823 0.678 0.799
Mo 0.048 0.129 0.435
Ge 0.418 0.868 0.253
Mo 0.429 0.890 0.645
Mo 0.257 0.547 0.014
Ge 0.626 0.286 0.168
Mo 0.615 0.264 0.777
Mo 0.787 0.607 0.408
Si 0.221 0.476 0.623

---

# 4
Entry from Alexandria: a relaxed TmCd3Ag crystal (PBE-GGA).

Values from the calculation:
Energy above the most stable polymorph in this dataset (meV/atom): 109
Density (g/cm3): 7.8
Crystal system: orthorhombic
Calculated formation energy (kJ per mole of atoms): -4.1

Cell: 5.313 6.153 8.538 Å, 111.12 90.00 90.00°
Positions (direct):
Tm 0.250 0.192 0.384
Cd 0.250 0.599 0.725
Cd 0.750 0.401 0.275
Cd 0.500 0.000 0.000
Cd 0.000 0.000 0.000
Ag 0.250 0.695 0.390
Tm 0.750 0.808 0.616
Cd 0.250 0.127 0.725
Cd 0.750 0.873 0.275
Ag 0.750 0.305 0.610

---

# 5
Entry from Alexandria: a relaxed TiFeRe3 crystal (PBE-GGA).

Values from the calculation:
Energy above the most stable polymorph in this dataset (meV/atom): 0
Density (g/cm3): 12.9
Crystal system: cubic
Calculated formation energy (kJ per mole of atoms): 116.7

Cell: 4.407 4.407 4.407 Å, 90.00 90.00 90.00°
Positions (direct):
Fe 0.000 0.000 0.000
Re 0.000 0.500 0.000
Ti 0.500 0.500 0.500
Re 0.000 0.000 0.500
Re 0.500 0.000 0.000

---

# 6
Entry from Alexandria: a relaxed PmCr4 crystal (PBE-GGA).

Values from the calculation:
Density (g/cm3): 5.2
Crystal system: cubic
Calculated formation energy (kJ per mole of atoms): 201.8

Cell: 4.832 4.832 4.832 Å, 90.00 90.00 90.00°
Last column: magnetic moment on the atom in μB.
Positions (direct):
Cr 0.500 0.000 0.500  3.09
Cr 0.000 0.500 0.500  3.09
Cr 0.000 0.000 0.000  -3.91
Pm 0.500 0.500 0.500  -0.08
Cr 0.500 0.500 0.000  3.09